# GGA-PBEsol BeAgIr, optimized geometry
data_BeAgIr
_symmetry_space_group_name_H-M 'P 1'
_symmetry_Int_Tables_number 1
_cell_length_a 4.0964
_cell_length_b 4.0964
_cell_length_c 4.0964
_cell_angle_alpha 60.00
_cell_angle_beta 60.00
_cell_angle_gamma 60.00
loop_
_symmetry_equiv_pos_as_xyz
'x,y,z'
loop_
_atom_site_label
_atom_site_fract_x
_atom_site_fract_y
_atom_site_fract_z
Be1 0.0000 0.0000 0.0000
Ag1 0.5000 0.5000 0.5000
Ir1 0.7500 0.7500 0.7500
# Total DFT energy (no corrections), eV per atom: -4.899
# N(E_F), states/eV/cell: 3.21
# Energy relative to the elements, meV/atom: 812.3
# Space-group type: F-43m, No. 216
# Volume, Å³/cell: 48.6

---

# GGA-PBEsol BeAgIrO2, optimized geometry
data_BeAgIrO2
_symmetry_space_group_name_H-M 'P 1'
_symmetry_Int_Tables_number 1
_cell_length_a 3.6593
_cell_length_b 3.6593
_cell_length_c 5.7777
_cell_angle_alpha 90.00
_cell_angle_beta 90.00
_cell_angle_gamma 90.00
loop_
_symmetry_equiv_pos_as_xyz
'x,y,z'
loop_
_atom_site_label
_atom_site_fract_x
_atom_site_fract_y
_atom_site_fract_z
Be1 0.0000 0.0000 0.0000
Ag1 0.5000 0.5000 0.0000
Ir1 0.5000 0.5000 0.5000
O1 0.0000 0.5000 0.5000
O2 0.5000 0.0000 0.5000
# Total DFT energy (no corrections), eV per atom: -5.387
# N(E_F), states/eV/cell: 2.11
# Formation energy (no corrections), eV per atom: 0.139
# Space-group type: P4/mmm, No. 123
# Volume, Å³/cell: 77.4

---

# GGA-PBEsol KBeAg, optimized geometry
data_KBeAg
_symmetry_space_group_name_H-M 'P 1'
_symmetry_Int_Tables_number 1
_cell_length_a 6.4115
_cell_length_b 6.4115
_cell_length_c 6.4115
_cell_angle_alpha 149.85
_cell_angle_beta 149.85
_cell_angle_gamma 43.15
loop_
_symmetry_equiv_pos_as_xyz
'x,y,z'
loop_
_atom_site_label
_atom_site_fract_x
_atom_site_fract_y
_atom_site_fract_z
K1 0.0000 0.0000 0.0000
Be1 0.2590 0.2590 0.0000
Ag1 0.7334 0.7334 0.0000
# Excess energy over the best structure of this formula in the dataset, eV per atom: 0.0000
# Total DFT energy (no corrections), eV per atom: -2.442
# N(E_F), states/eV/cell: 0.88
# Energy relative to the elements, meV/atom: 372.9
# Space-group type: I4mm, No. 107
# Volume, Å³/cell: 66.3

---

# GGA-PBEsol KBeAg, optimized geometry
data_KBeAg
_symmetry_space_group_name_H-M 'P 1'
_symmetry_Int_Tables_number 1
_cell_length_a 4.0002
_cell_length_b 4.0002
_cell_length_c 5.3832
_cell_angle_alpha 90.00
_cell_angle_beta 90.00
_cell_angle_gamma 120.00
loop_
_symmetry_equiv_pos_as_xyz
'x,y,z'
loop_
_atom_site_label
_atom_site_fract_x
_atom_site_fract_y
_atom_site_fract_z
K1 0.0000 0.0000 0.0000
Be1 0.3333 0.6667 0.5000
Ag1 0.6667 0.3333 0.5000
# Excess energy over the best structure of this formula in the dataset, eV per atom: 0.1071
# Total DFT energy (no corrections), eV per atom: -2.335
# N(E_F), states/eV/cell: 0.97
# Energy relative to the elements, meV/atom: 480.0
# Space-group type: P-6m2, No. 187
# Volume, Å³/cell: 74.6

---

# GGA-PBEsol KBeAg, optimized geometry
data_KBeAg
_symmetry_space_group_name_H-M 'P 1'
_symmetry_Int_Tables_number 1
_cell_length_a 4.7348
_cell_length_b 4.7348
_cell_length_c 4.7348
_cell_angle_alpha 60.00
_cell_angle_beta 60.00
_cell_angle_gamma 60.00
loop_
_symmetry_equiv_pos_as_xyz
'x,y,z'
loop_
_atom_site_label
_atom_site_fract_x
_atom_site_fract_y
_atom_site_fract_z
K1 0.0000 0.0000 0.0000
Be1 0.7500 0.7500 0.7500
Ag1 0.5000 0.5000 0.5000
# Excess energy over the best structure of this formula in the dataset, eV per atom: 0.5328
# Total DFT energy (no corrections), eV per atom: -1.909
# N(E_F), states/eV/cell: 1.73
# Energy relative to the elements, meV/atom: 905.7
# Space-group type: F-43m, No. 216
# Volume, Å³/cell: 75.1

---

# GGA-PBEsol LaBe2Ag, optimized geometry
data_LaBe2Ag
_symmetry_space_group_name_H-M 'P 1'
_symmetry_Int_Tables_number 1
_cell_length_a 3.7346
_cell_length_b 5.9434
_cell_length_c 5.9434
_cell_angle_alpha 32.01
_cell_angle_beta 90.00
_cell_angle_gamma 90.00
loop_
_symmetry_equiv_pos_as_xyz
'x,y,z'
loop_
_atom_site_label
_atom_site_fract_x
_atom_site_fract_y
_atom_site_fract_z
La1 0.0000 0.0000 0.0000
Be1 0.0000 0.7292 0.7292
Be2 0.5000 0.6371 0.6371
Ag1 0.5000 0.2840 0.2840
# Total DFT energy (no corrections), eV per atom: -4.024
# N(E_F), states/eV/cell: 2.50
# Energy relative to the elements, meV/atom: 140.5
# Space-group type: Amm2, No. 38
# Volume, Å³/cell: 69.9

---

# GGA-PBEsol LaBeAg2, optimized geometry
data_LaBeAg2
_symmetry_space_group_name_H-M 'P 1'
_symmetry_Int_Tables_number 1
_cell_length_a 4.8219
_cell_length_b 4.8219
_cell_length_c 4.8219
_cell_angle_alpha 119.89
_cell_angle_beta 119.89
_cell_angle_gamma 90.19
loop_
_symmetry_equiv_pos_as_xyz
'x,y,z'
loop_
_atom_site_label
_atom_site_fract_x
_atom_site_fract_y
_atom_site_fract_z
La1 0.0000 0.0000 0.0000
Be1 0.2500 0.7500 0.5000
Ag1 0.5000 0.5000 0.0000
Ag2 0.7500 0.2500 0.5000
# Total DFT energy (no corrections), eV per atom: -3.862
# N(E_F), states/eV/cell: 3.86
# Energy relative to the elements, meV/atom: 130.0
# Space-group type: I-4m2, No. 119
# Volume, Å³/cell: 79.4

---

# GGA-PBEsol LaBeAg, optimized geometry
data_LaBeAg
_symmetry_space_group_name_H-M 'P 1'
_symmetry_Int_Tables_number 1
_cell_length_a 4.8338
_cell_length_b 4.8338
_cell_length_c 4.8338
_cell_angle_alpha 60.00
_cell_angle_beta 60.00
_cell_angle_gamma 60.00
loop_
_symmetry_equiv_pos_as_xyz
'x,y,z'
loop_
_atom_site_label
_atom_site_fract_x
_atom_site_fract_y
_atom_site_fract_z
La1 0.0000 0.0000 0.0000
Be1 0.2500 0.2500 0.2500
Ag1 0.7500 0.7500 0.7500
# Total DFT energy (no corrections), eV per atom: -3.462
# N(E_F), states/eV/cell: 2.80
# Energy relative to the elements, meV/atom: 757.2
# Space-group type: F-43m, No. 216
# Volume, Å³/cell: 79.9